No. 1
Material: Tb2PmPrSc
Method: DFT, PBE
State: relaxed

a b c (Å): 5.045 7.909 7.938
angles (deg): 89.69 90.00 90.00
Fractional positions:
Tb: 0.750 0.839 0.552
Tb: 0.750 0.647 0.953
Tb: 0.250 0.161 0.448
Tb: 0.250 0.353 0.047
Pm: 0.250 0.944 0.847
Pm: 0.750 0.056 0.153
Pr: 0.250 0.744 0.259
Pr: 0.750 0.256 0.741
Sc: 0.250 0.548 0.649
Sc: 0.750 0.452 0.351

***

No. 2
Material: TbPm2Pr4Sc
Method: DFT, PBE
State: relaxed

a b c (Å): 5.163 5.136 11.367
angles (deg): 63.11 90.00 90.00
Fractional positions:
Tb: 0.500 0.500 0.000
Pm: 0.000 0.000 0.000
Pm: 0.500 0.000 0.500
Pr: 0.000 0.756 0.745
Pr: 0.000 0.244 0.255
Pr: 0.500 0.745 0.254
Pr: 0.500 0.255 0.746
Sc: 0.000 0.500 0.500

***

No. 3
Material: Tb5PmPr2Sc
Method: DFT, PBE
State: relaxed

a b c (Å): 5.625 10.354 10.501
angles (deg): 90.00 90.00 105.76
Fractional positions:
Tb: 0.374 0.748 0.018
Tb: 0.723 0.447 0.822
Tb: 0.483 0.966 0.741
Tb: 0.296 0.592 0.703
Tb: 0.983 0.967 0.518
Tb: 0.626 0.252 0.518
Tb: 0.277 0.553 0.322
Tb: 0.517 0.034 0.241
Tb: 0.704 0.408 0.203
Tb: 0.017 0.033 0.018
Pm: 0.589 0.178 0.960
Pm: 0.411 0.822 0.460
Pr: 0.886 0.773 0.814
Pr: 0.115 0.230 0.734
Pr: 0.114 0.227 0.314
Pr: 0.885 0.770 0.234
Sc: 0.803 0.607 0.514
Sc: 0.197 0.393 0.014

***

No. 4
Material: Tb5Pm2PrSc
Method: DFT, PBE
State: relaxed

a b c (Å): 5.627 10.319 10.483
angles (deg): 90.00 90.00 105.82
Fractional positions:
Tb: 0.374 0.748 0.019
Tb: 0.723 0.447 0.823
Tb: 0.482 0.965 0.740
Tb: 0.296 0.593 0.704
Tb: 0.982 0.965 0.519
Tb: 0.626 0.252 0.519
Tb: 0.277 0.553 0.323
Tb: 0.518 0.035 0.240
Tb: 0.704 0.407 0.204
Tb: 0.018 0.035 0.019
Pm: 0.887 0.775 0.815
Pm: 0.115 0.230 0.733
Pm: 0.113 0.225 0.315
Pm: 0.885 0.770 0.233
Pr: 0.587 0.175 0.957
Pr: 0.413 0.825 0.457
Sc: 0.804 0.607 0.514
Sc: 0.196 0.393 0.014

***

| no. | D(E_F) (states/eV/atom) | energy relative to the elements (eV/atom) |
| --- | --- | --- |
| 1 | 1.679 | 0.046 |
| 2 | 1.382 | 0.029 |
| 3 | 1.370 | 0.154 |
| 4 | 1.421 | 0.161 |